Entry 1:
A geometry-optimized Nd3Y2Ho6Mg structure. Source: Alexandria via LeMat-Bulk, functional PBE-GGA.

Results
The value obtained for the energy of formation from the pure elements is 0.033 eV per atom. Its calculated volume is 380.5 Å³/f.u. The density of states at the Fermi level is 1.508 states/eV per atom.

Unit cell a=6.166 b=6.166 c=11.748 alpha=95.06 beta=95.06 gamma=120.05
Atoms (fractional coordinates):
Nd  0.166  0.834  0.500
Nd  0.834  0.166  0.500
Nd  0.500  0.500  0.500
Y  0.334  0.666  0.000
Y  0.666  0.334  0.000
Ho  0.919  0.587  0.754
Ho  0.749  0.749  0.246
Ho  0.081  0.413  0.246
Ho  0.587  0.919  0.754
Ho  0.251  0.251  0.754
Ho  0.413  0.081  0.246
Mg  0.000  0.000  0.000

Entry 2:
A geometry-optimized NdHoMgZn structure. Source: Alexandria via LeMat-Bulk, functional PBE-GGA.

Results
The value obtained for the energy of formation from the pure elements is -0.207 eV per atom. For the offset from the most stable computed form, the calculation gives 0.0 kJ per mole of atoms. Its calculated volume is 103.8 Å³/f.u. The density of states at the Fermi level is 1.100 states/eV per atom.

Unit cell a=3.638 b=3.638 c=7.840 alpha=90.00 beta=90.00 gamma=90.00
Atoms (fractional coordinates):
Nd  0.000  0.000  0.881
Ho  0.000  0.000  0.329
Mg  0.500  0.500  0.593
Zn  0.500  0.500  0.125

Entry 3:
A geometry-optimized NdHoMgZn structure. Source: Alexandria via LeMat-Bulk, functional PBE-GGA.

Results
The value obtained for the energy of formation from the pure elements is -0.173 eV per atom. For the offset from the most stable computed form, the calculation gives 3.2 kJ per mole of atoms. Its calculated volume is 102.7 Å³/f.u. The density of states at the Fermi level is 1.048 states/eV per atom.

Unit cell a=5.257 b=5.257 c=5.257 alpha=60.00 beta=60.00 gamma=60.00
Atoms (fractional coordinates):
Mg  0.250  0.250  0.250
Zn  0.750  0.750  0.750
Nd  0.500  0.500  0.500
Ho  0.000  0.000  0.000

Entry 4:
A geometry-optimized Ho4MgNi2 structure. Source: Alexandria via LeMat-Bulk, functional PBE-GGA.

Results
The value obtained for the energy of formation from the pure elements is -0.171 eV per atom. Its calculated volume is 171.4 Å³/f.u. The density of states at the Fermi level is 0.756 states/eV per atom.

Unit cell a=7.055 b=7.101 c=9.070 alpha=128.92 beta=102.62 gamma=87.02
Atoms (fractional coordinates):
Ho  0.938  0.002  0.192
Ho  0.391  0.621  0.260
Ho  0.749  0.733  0.713
Ho  0.877  0.127  0.611
Ho  0.444  0.219  0.381
Ho  0.424  0.151  0.760
Ho  0.342  0.688  0.881
Ho  0.833  0.463  0.133
Mg  0.132  0.631  0.517
Mg  0.145  0.127  0.966
Ni  0.697  0.519  0.857
Ni  0.632  0.833  0.206
Ni  0.569  0.120  0.062
Ni  0.076  0.518  0.962

Entry 5:
A geometry-optimized Ho2MgNi structure. Source: Alexandria via LeMat-Bulk, functional PBE-GGA.

Results
The value obtained for the energy of formation from the pure elements is 0.387 eV per atom. Its calculated volume is 98.0 Å³/f.u. The density of states at the Fermi level is 0.889 states/eV per atom.

Unit cell a=3.289 b=3.289 c=10.637 alpha=81.11 beta=81.11 gamma=60.00
Atoms (fractional coordinates):
Ni  0.000  0.000  0.000
Mg  0.500  0.500  0.500
Ho  0.080  0.080  0.761
Ho  0.920  0.920  0.239

Entry 6:
A geometry-optimized Ho11Mg9Ni4 structure. Source: Alexandria via LeMat-Bulk, functional PBE-GGA.

Results
The value obtained for the energy of formation from the pure elements is -0.223 eV per atom. Its calculated volume is 575.8 Å³/f.u. The density of states at the Fermi level is 0.915 states/eV per atom.

Unit cell a=3.577 b=13.238 c=13.238 alpha=113.31 beta=90.00 gamma=90.00
Site moments in Bohr magnetons follow the coordinates.
Atoms (fractional coordinates):
Ho  0.000  0.582  0.915  0.00
Ho  0.000  0.418  0.085  0.00
Ho  0.000  0.915  0.582  0.00
Ho  0.000  0.085  0.418  0.00
Ho  0.000  0.627  0.373  0.00
Ho  0.000  0.373  0.627  0.00
Ho  0.000  0.845  0.155  0.07
Ho  0.000  0.155  0.845  0.07
Ho  0.000  0.000  0.000  0.11
Ho  0.000  0.687  0.687  0.00
Ho  0.000  0.313  0.313  0.00
Mg  0.500  0.635  0.154  0.00
Mg  0.500  0.365  0.846  0.00
Mg  0.500  0.154  0.635  0.00
Mg  0.500  0.846  0.365  0.00
Mg  0.500  0.780  0.921  0.00
Mg  0.500  0.220  0.079  0.00
Mg  0.500  0.921  0.780  0.00
Mg  0.500  0.079  0.220  0.00
Mg  0.500  0.500  0.500  0.00
Ni  0.500  0.549  0.747  0.00
Ni  0.500  0.451  0.253  0.00
Ni  0.500  0.747  0.549  0.00
Ni  0.500  0.253  0.451  0.00

Entry 7:
A geometry-optimized Ho3Mg3Ni2 structure. Source: Alexandria via LeMat-Bulk, functional PBE-GGA.

Results
The value obtained for the energy of formation from the pure elements is -0.215 eV per atom. Its calculated volume is 180.5 Å³/f.u. The density of states at the Fermi level is 0.782 states/eV per atom.

Unit cell a=4.196 b=5.079 c=8.865 alpha=100.24 beta=103.69 gamma=90.00
Atoms (fractional coordinates):
Ho  0.170  0.596  0.340
Ho  0.830  0.404  0.660
Ho  0.000  0.000  0.000
Mg  0.640  0.081  0.280
Mg  0.500  0.500  0.000
Mg  0.360  0.919  0.720
Ni  0.231  0.130  0.463
Ni  0.769  0.870  0.537

Entry 8:
A geometry-optimized Ho4MgNi structure. Source: Alexandria via LeMat-Bulk, functional PBE-GGA.

Results
The value obtained for the energy of formation from the pure elements is 0.016 eV per atom. For the offset from the most stable computed form, the calculation gives 21.7 kJ per mole of atoms. Its calculated volume is 169.1 Å³/f.u. The density of states at the Fermi level is 1.098 states/eV per atom.

Unit cell a=5.956 b=6.682 c=8.648 alpha=90.00 beta=79.30 gamma=90.00
Atoms (fractional coordinates):
Ho  0.935  0.601  0.209
Ho  0.565  0.101  0.791
Ho  0.393  0.371  0.367
Ho  0.107  0.871  0.633
Ho  0.065  0.399  0.791
Ho  0.435  0.899  0.209
Ho  0.607  0.629  0.633
Ho  0.893  0.129  0.367
Mg  0.000  0.000  0.000
Mg  0.500  0.500  0.000
Ni  0.500  0.000  0.500
Ni  0.000  0.500  0.500